Entry from the Alexandria database: Ac4AsAu2 after structural relaxation (GGA-PBE).

Lattice parameters (Å, degrees): 8.6890 8.6890 8.6890 139.57 139.57 58.51
Closest atoms and distances in Å follow each position.
Element x y z (fractional)
Ac 0.0000 0.5000 0.5000  2 As 3.00, 4 Au 3.35
Ac 0.2032 0.2032 0.0000  1 Au 3.02, 1 As 3.08
Ac 0.5000 0.0000 0.5000  2 As 3.00, 4 Au 3.35
Ac 0.7968 0.7968 0.0000  1 Au 3.02, 1 As 3.08
As 0.0000 0.0000 0.0000  6 Ac 3.00-3.08
Au 0.4027 0.4027 0.0000  1 Au 2.95, 1 Ac 3.02
Au 0.5973 0.5973 0.0000  1 Au 2.95, 1 Ac 3.02

Calculated values
The value obtained for the energy is -4.533 eV per atom. The energy relative to the elements is -585 meV/atom.

---

Entry from the Alexandria database: AcAsAu2 after structural relaxation (GGA-PBE).

Lattice parameters (Å, degrees): 4.0135 4.0135 6.2126 90.00 90.00 90.00
Closest atoms and distances in Å follow each position.
Element x y z (fractional)
Ac 0.0000 0.0000 0.0000  2 As 3.11, 8 Au 3.30
As 0.0000 0.0000 0.5000  2 Ac 3.11, 8 Au 3.17
Au 0.5000 0.5000 0.2722  1 Au 2.83
Au 0.5000 0.5000 0.7278  1 Au 2.83

Calculated values
The value obtained for the energy is -4.254 eV per atom. The energy relative to the elements is -426 meV/atom.

---

Entry from the Alexandria database: Ac2AsAu after structural relaxation (GGA-PBE).

Lattice parameters (Å, degrees): 12.9131 12.9131 4.6268 90.00 90.00 160.40
Closest atoms and distances in Å follow each position.
Element x y z (fractional)
Ac 0.0660 0.9340 0.7500  1 As 3.11, 4 Au 3.25
Ac 0.3123 0.6877 0.7500  5 As 3.16-3.19
Ac 0.6877 0.3123 0.2500  5 As 3.16-3.19
Ac 0.9340 0.0660 0.2500  1 As 3.11, 4 Au 3.25
As 0.1883 0.8117 0.7500  6 Ac 3.11-3.19
As 0.8117 0.1883 0.2500  6 Ac 3.11-3.19
Au 0.4586 0.5414 0.7500  2 Au 3.13, 4 Ac 3.25
Au 0.5414 0.4586 0.2500  2 Au 3.13, 4 Ac 3.25

Calculated values
The value obtained for the energy is -5.144 eV per atom. The energy relative to the elements is -1108 meV/atom.

---

Entry from the Alexandria database: AcAs2Au after structural relaxation (GGA-PBE).

Lattice parameters (Å, degrees): 4.6872 4.6872 4.3882 90.00 90.00 90.00
Closest atoms and distances in Å follow each position.
Element x y z (fractional)
Ac 0.0000 0.0000 0.0000  8 As 3.21, 4 Au 3.31
As 0.0000 0.5000 0.5000  4 Ac 3.21, 4 Au 3.21, 4 As 3.31
As 0.5000 0.0000 0.5000  4 Ac 3.21, 4 Au 3.21, 4 As 3.31
Au 0.5000 0.5000 0.0000  8 As 3.21, 4 Ac 3.31

Calculated values
The value obtained for the energy is -4.729 eV per atom. The energy relative to the elements is -558 meV/atom.

---

Entry from the Alexandria database: AcAs2Au3 after structural relaxation (GGA-PBE).

Lattice parameters (Å, degrees): 8.7163 8.7163 7.5251 113.92 113.92 32.39
Closest atoms and distances in Å follow each position.
Element x y z (fractional)
Ac 0.1490 0.1490 0.0833  7 Au 3.21-3.38, 3 As 3.31-3.56
Ac 0.8510 0.8510 0.9167  7 Au 3.21-3.38, 3 As 3.31-3.56
As 0.1777 0.1777 0.6742  4 Au 2.56-2.67
As 0.4874 0.4874 0.8156  1 As 2.62, 4 Au 2.67-2.75
As 0.5126 0.5126 0.1844  1 As 2.62, 4 Au 2.67-2.75
As 0.8223 0.8223 0.3258  4 Au 2.56-2.67
Au 0.0320 0.0320 0.3439  3 As 2.65-2.67
Au 0.3124 0.3124 0.5950  2 As 2.56-2.69
Au 0.3590 0.3590 0.2350  3 As 2.67-2.75
Au 0.6410 0.6410 0.7650  3 As 2.67-2.75
Au 0.6876 0.6876 0.4050  2 As 2.56-2.69
Au 0.9680 0.9680 0.6561  3 As 2.65-2.67

Calculated values
The value obtained for the energy is -4.330 eV per atom. The energy relative to the elements is -456 meV/atom.

---

Entry from the Alexandria database: Ac2AsAu after structural relaxation (GGA-PBE).

Lattice parameters (Å, degrees): 8.3692 8.3692 8.3692 30.43 30.43 30.43
Closest atoms and distances in Å follow each position.
Element x y z (fractional)
Ac 0.0000 0.0000 0.0000  3 As 3.18, 3 Au 3.27
Ac 0.1748 0.1748 0.1748  3 As 3.16, 3 Au 3.30
As 0.5866 0.5866 0.5866  6 Ac 3.16-3.18
Au 0.4197 0.4197 0.4197  6 Ac 3.27-3.30

Calculated values
The value obtained for the energy is -5.072 eV per atom. The energy relative to the elements is -1036 meV/atom.

---

Entry from the Alexandria database: AcAs2Au3 after structural relaxation (GGA-PBE).

Lattice parameters (Å, degrees): 8.7135 8.7135 8.0884 114.98 114.98 30.29
Closest atoms and distances in Å follow each position.
Element x y z (fractional)
Ac 0.1434 0.1434 0.2420  5 As 3.16-3.36, 7 Au 3.39-3.47
Ac 0.8566 0.8566 0.7580  5 As 3.16-3.36, 7 Au 3.39-3.47
As 0.2053 0.2053 0.6967  4 Au 2.56-2.70
As 0.4933 0.4933 0.7928  4 Au 2.60-2.83
As 0.5067 0.5067 0.2072  4 Au 2.60-2.83
As 0.7947 0.7947 0.3033  4 Au 2.56-2.70
Au 0.0656 0.0656 0.7783  3 As 2.61-2.70
Au 0.3193 0.3193 0.0339  2 As 2.56-2.83
Au 0.3732 0.3732 0.4528  3 As 2.60-2.64
Au 0.6268 0.6268 0.5472  3 As 2.60-2.64
Au 0.6807 0.6807 0.9661  2 As 2.56-2.83
Au 0.9344 0.9344 0.2217  3 As 2.61-2.70

Calculated values
The value obtained for the energy is -4.358 eV per atom. The energy relative to the elements is -484 meV/atom.

---

Entry from the Alexandria database: Ac3As5Au6 after structural relaxation (GGA-PBE).

Lattice parameters (Å, degrees): 4.5107 13.6446 10.5624 90.00 90.00 90.00
Closest atoms and distances in Å follow each position.
Element x y z (fractional)
Ac 0.2500 0.0844 0.2444  6 As 3.26-3.39, 6 Au 3.28-3.59
Ac 0.2500 0.4156 0.2444  6 As 3.26-3.39, 6 Au 3.28-3.59
Ac 0.2500 0.7500 0.2649  6 As 3.25-3.53, 10 Au 3.42-3.60
Ac 0.7500 0.2500 0.7351  6 As 3.25-3.53, 10 Au 3.42-3.60
Ac 0.7500 0.5844 0.7556  6 As 3.26-3.39, 6 Au 3.28-3.59
Ac 0.7500 0.9156 0.7556  6 As 3.26-3.39, 6 Au 3.28-3.59
As 0.2500 0.0762 0.8609  5 Au 2.60-2.90
As 0.2500 0.4238 0.8609  5 Au 2.60-2.90
As 0.2500 0.6167 0.5196  5 Au 2.72-2.90
As 0.2500 0.7500 0.8157  2 Au 2.75
As 0.2500 0.8833 0.5196  5 Au 2.72-2.90
As 0.7500 0.1167 0.4804  5 Au 2.72-2.90
As 0.7500 0.2500 0.1843  2 Au 2.75
As 0.7500 0.3833 0.4804  5 Au 2.72-2.90
As 0.7500 0.5762 0.1391  5 Au 2.60-2.90
As 0.7500 0.9238 0.1391  5 Au 2.60-2.90
Au 0.2500 0.0690 0.6146  4 As 2.60-2.74, 1 Au 2.91
Au 0.2500 0.2500 0.4692  4 As 2.90, 2 Au 2.91
Au 0.2500 0.2500 0.9802  2 As 2.69, 4 Au 2.99
Au 0.2500 0.4310 0.6146  4 As 2.60-2.74, 1 Au 2.91
Au 0.2500 0.6071 0.9992  4 As 2.73-2.90, 2 Au 2.99
Au 0.2500 0.8929 0.9992  4 As 2.73-2.90, 2 Au 2.99
Au 0.7500 0.1071 0.0008  4 As 2.73-2.90, 2 Au 2.99
Au 0.7500 0.3929 0.0008  4 As 2.73-2.90, 2 Au 2.99
Au 0.7500 0.5690 0.3854  4 As 2.60-2.74, 1 Au 2.91
Au 0.7500 0.7500 0.0198  2 As 2.69, 4 Au 2.99
Au 0.7500 0.7500 0.5308  4 As 2.90, 2 Au 2.91
Au 0.7500 0.9310 0.3854  4 As 2.60-2.74, 1 Au 2.91

Calculated values
The value obtained for the energy is -4.599 eV per atom. The energy relative to the elements is -653 meV/atom.

---

Entry from the Alexandria database: Ac2As3Au2 after structural relaxation (GGA-PBE).

Lattice parameters (Å, degrees): 8.5608 8.5608 12.3973 126.03 126.03 30.69
Closest atoms and distances in Å follow each position.
Element x y z (fractional)
Ac 0.0971 0.0971 0.4245  5 As 3.16-3.35, 3 Au 3.37-3.38
Ac 0.2427 0.2427 0.8443  6 As 3.17-3.31, 5 Au 3.37-3.52
Ac 0.7573 0.7573 0.1557  6 As 3.17-3.31, 5 Au 3.37-3.52
Ac 0.9029 0.9029 0.5755  5 As 3.16-3.35, 3 Au 3.37-3.38
As 0.1077 0.1077 0.9490  3 Au 2.64-2.65
As 0.3402 0.3402 0.6893  2 Au 2.70
As 0.4141 0.4141 0.3857  1 As 2.50, 1 Au 2.67
As 0.5859 0.5859 0.6143  1 As 2.50, 1 Au 2.67
As 0.6598 0.6598 0.3107  2 Au 2.70
As 0.8923 0.8923 0.0510  3 Au 2.64-2.65
Au 0.1103 0.1103 0.1640  3 As 2.64-2.70
Au 0.4332 0.4332 0.1865  3 As 2.65-2.67
Au 0.5668 0.5668 0.8135  3 As 2.65-2.67
Au 0.8897 0.8897 0.8360  3 As 2.64-2.70

Calculated values
The value obtained for the energy is -4.971 eV per atom. The energy relative to the elements is -868 meV/atom.

---

Entry from the Alexandria database: AcAsAu3 after structural relaxation (GGA-PBE).

Lattice parameters (Å, degrees): 4.6057 4.6057 6.3341 110.64 110.64 90.32
Closest atoms and distances in Å follow each position.
Element x y z (fractional)
Ac 0.0000 0.0000 0.0000  12 Au 3.39-3.67, 4 As 3.45-3.60
As 0.3917 0.3917 0.7514  5 Au 2.52-2.68
Au 0.2384 0.7690 0.5051  2 As 2.66-2.68, 2 Au 2.82
Au 0.5936 0.5936 0.2102  1 As 2.52, 4 Au 2.82
Au 0.7690 0.2384 0.5051  2 As 2.66-2.68, 2 Au 2.82

Calculated values
The value obtained for the energy is -4.311 eV per atom. The energy relative to the elements is -593 meV/atom.

---

Entry from the Alexandria database: Ac2AsAu after structural relaxation (GGA-PBE).

Lattice parameters (Å, degrees): 8.2138 8.2138 8.2138 31.42 31.42 31.42
Closest atoms and distances in Å follow each position.
Element x y z (fractional)
Ac 0.2475 0.2475 0.2475  3 As 3.19, 3 Au 3.26
Ac 0.7525 0.7525 0.7525  3 As 3.19, 3 Au 3.26
As 0.5000 0.5000 0.5000  6 Ac 3.19
Au 0.0000 0.0000 0.0000  6 Ac 3.26

Calculated values
The value obtained for the energy is -5.080 eV per atom. The energy relative to the elements is -1045 meV/atom.